*P*
The following is a DFT calculation (PBE-GGA) of a relaxed structure of Ir2Os2Pt.

```
Ir2Os2Pt
1.0
2.760 0.000 0.000
-1.380 2.390 0.000
0.000 0.000 11.123
Ir Os Pt
2 2 1
Direct
0.667 0.333 0.710 Ir
0.333 0.667 0.290 Ir
0.333 0.667 0.905 Os
0.667 0.333 0.095 Os
0.000 0.000 0.500 Pt
```

Summary:
D(E_F), states/eV per atom: 0.703
M_tot, Bohr magnetons per cell: 0.0
Symmetry: P-3m1, No. 164
ρ, g/cm³: 21.73



*Q*
The following is a DFT calculation (PBE-GGA) of a relaxed structure of Ir2Os2Pt.

```
Ir2Os2Pt
1.0
3.531 0.000 -0.582
-0.096 3.530 -0.582
-0.699 -0.719 6.763
Ir Os Pt
2 2 1
Direct
0.599 0.599 0.197 Ir
0.401 0.401 0.803 Ir
0.750 0.250 0.500 Os
0.250 0.750 0.500 Os
0.000 0.000 0.000 Pt
```

Summary:
D(E_F), states/eV per atom: 0.878
M_tot, Bohr magnetons per cell: 0.0
Symmetry: I4/mmm, No. 139
ρ, g/cm³: 19.60



Computed stability ranking, most favorable first: *P*, *Q*



*P*
The following is a DFT calculation (PBE-GGA) of a relaxed structure of PuIrOs.

```
PuIrOs
1.0
-1.307 -0.490 5.016
-4.932 -1.741 1.248
-0.629 -4.928 2.057
Pu Ir Os
2 2 2
Direct
0.874 0.376 0.376 Pu
0.126 0.624 0.624 Pu
0.500 0.500 0.000 Ir
0.500 0.000 0.500 Ir
0.000 0.000 0.000 Os
0.500 0.000 0.000 Os
```

Summary:
D(E_F), states/eV per atom: 2.564
M_tot, Bohr magnetons per cell: 9.0
Symmetry: Imma, No. 74
ρ, g/cm³: 19.18



*Q*
The following is a DFT calculation (PBE-GGA) of a relaxed structure of PuIrOs.

```
PuIrOs
1.0
4.381 0.000 0.000
2.191 5.151 -0.593
2.191 0.752 5.004
Ir Os Pu
2 2 2
Direct
0.334 0.217 0.115 Ir
0.666 0.783 0.885 Ir
0.650 0.421 0.279 Os
0.350 0.579 0.721 Os
0.937 0.818 0.308 Pu
0.063 0.182 0.692 Pu
```

Summary:
D(E_F), states/eV per atom: 2.879
M_tot, Bohr magnetons per cell: 9.7
Symmetry: C2/m, No. 12
ρ, g/cm³: 18.11



Computed stability ranking, most favorable first: *P*, *Q*



*P*
The following is a DFT calculation (PBE-GGA) of a relaxed structure of RbIrOs3.

```
RbIrOs3
1.0
-4.686 -0.106 -1.238
-0.872 -3.164 3.568
-0.886 3.671 3.039
Ir Os Rb
1 3 1
Direct
0.000 0.000 0.000 Ir
0.000 0.500 0.000 Os
0.000 0.000 0.500 Os
0.500 0.000 0.000 Os
0.500 0.500 0.500 Rb
```

Summary:
D(E_F), states/eV per atom: 1.804
M_tot, Bohr magnetons per cell: 0.0
Symmetry: Pm-3m, No. 221
ρ, g/cm³: 12.37



*Q*
The following is a DFT calculation (PBE-GGA) of a relaxed structure of RbIrOs3.

```
RbIrOs3
1.0
4.607 0.000 0.000
0.000 4.607 0.000
0.000 0.000 4.607
Ir Os Rb
1 3 1
Direct
0.500 0.500 0.500 Ir
0.000 0.500 0.000 Os
0.000 0.000 0.500 Os
0.500 0.000 0.000 Os
0.000 0.000 0.000 Rb
```

Summary:
D(E_F), states/eV per atom: 1.642
M_tot, Bohr magnetons per cell: 0.0
Symmetry: Pm-3m, No. 221
ρ, g/cm³: 14.40



Computed stability ranking, most favorable first: *P*, *Q*



*P*
The following is a DFT calculation (PBE-GGA) of a relaxed structure of ReIrOs3.

```
ReIrOs3
1.0
4.640 0.000 0.000
0.000 4.640 0.000
0.000 0.000 4.640
Re Ir Os
1 1 3
Direct
0.500 0.500 0.500 Re
0.000 0.000 0.000 Ir
0.000 0.500 0.000 Os
0.000 0.000 0.500 Os
0.500 0.000 0.000 Os
```

Summary:
D(E_F), states/eV per atom: 1.720
M_tot, Bohr magnetons per cell: 2.8
Symmetry: Pm-3m, No. 221
ρ, g/cm³: 15.78



*Q*
The following is a DFT calculation (PBE-GGA) of a relaxed structure of ReIrOs3.

```
ReIrOs3
1.0
-2.894 0.846 -3.528
-3.327 -2.420 2.149
-1.447 3.869 2.116
Re Ir Os
1 1 3
Direct
0.000 0.000 0.000 Re
0.500 0.500 0.500 Ir
0.000 0.500 0.000 Os
0.000 0.000 0.500 Os
0.500 0.000 0.000 Os
```

Summary:
D(E_F), states/eV per atom: 1.445
M_tot, Bohr magnetons per cell: 1.9
Symmetry: Pm-3m, No. 221
ρ, g/cm³: 15.77



Computed stability ranking, most favorable first: *Q*, *P*



*P*
The following is a DFT calculation (PBE-GGA) of a relaxed structure of Ir7Os2Rh2.

```
Ir7Os2Rh2
1.0
-0.431 -3.868 -2.680
3.235 -2.462 4.572
-4.537 -1.156 3.937
Ir Os Rh
7 2 2
Direct
0.243 0.053 0.406 Ir
0.757 0.594 0.947 Ir
0.757 0.947 0.594 Ir
0.243 0.406 0.053 Ir
0.000 0.000 0.000 Ir
0.769 0.538 0.538 Ir
0.231 0.462 0.462 Ir
0.754 0.243 0.243 Os
0.246 0.757 0.757 Os
0.500 0.180 0.820 Rh
0.500 0.820 0.180 Rh
```

Summary:
D(E_F), states/eV per atom: 1.012
M_tot, Bohr magnetons per cell: 0.0
Symmetry: C2/m, No. 12
ρ, g/cm³: 18.72



*Q*
The following is a DFT calculation (PBE-GGA) of a relaxed structure of Ir7Os2Rh2.

```
Ir7Os2Rh2
1.0
-0.911 -1.234 -4.839
5.010 -0.521 -0.630
-1.080 -5.876 2.514
Ir Os Rh
7 2 2
Direct
0.919 0.533 0.694 Ir
0.467 0.081 0.306 Ir
0.081 0.467 0.306 Ir
0.533 0.919 0.694 Ir
0.000 0.000 0.500 Ir
0.834 0.834 0.071 Ir
0.166 0.166 0.929 Ir
0.313 0.687 0.000 Os
0.687 0.313 0.000 Os
0.404 0.404 0.656 Rh
0.596 0.596 0.344 Rh
```

Summary:
D(E_F), states/eV per atom: 1.163
M_tot, Bohr magnetons per cell: 0.0
Symmetry: C2/m, No. 12
ρ, g/cm³: 19.51



Computed stability ranking, most favorable first: *Q*, *P*



*P*
The following is a DFT calculation (PBE-GGA) of a relaxed structure of Ir4OsRh.

```
Ir4OsRh
1.0
-2.239 1.294 0.903
-1.417 -0.403 -7.089
-4.028 -7.839 1.250
Ir Os Rh
8 2 2
Direct
0.997 0.995 0.269 Ir
0.003 0.005 0.769 Ir
0.889 0.779 0.020 Ir
0.111 0.221 0.520 Ir
0.670 0.340 0.269 Ir
0.330 0.660 0.769 Ir
0.445 0.890 0.519 Ir
0.555 0.110 0.019 Ir
0.667 0.334 0.767 Os
0.333 0.666 0.267 Os
0.778 0.556 0.517 Rh
0.222 0.444 0.017 Rh
```

Summary:
D(E_F), states/eV per atom: 0.760
M_tot, Bohr magnetons per cell: 0.0
Symmetry: Cmc2_1, No. 36
ρ, g/cm³: 20.35



*Q*
The following is a DFT calculation (PBE-GGA) of a relaxed structure of Ir4OsRh.

```
Ir4OsRh
1.0
0.000 3.603 3.603
3.603 0.000 3.603
3.603 3.603 0.000
Ir Os Rh
4 1 1
Direct
0.875 0.375 0.375 Ir
0.375 0.375 0.875 Ir
0.375 0.875 0.375 Ir
0.375 0.375 0.375 Ir
0.750 0.750 0.750 Os
0.000 0.000 0.000 Rh
```

Summary:
D(E_F), states/eV per atom: 1.399
M_tot, Bohr magnetons per cell: 0.0
Symmetry: F-43m, No. 216
ρ, g/cm³: 18.85



*R*
The following is a DFT calculation (PBE-GGA) of a relaxed structure of Ir4OsRh.

```
Ir4OsRh
1.0
2.730 0.000 0.000
0.000 3.868 0.000
0.000 0.001 8.203
Ir Os Rh
4 1 1
Direct
0.000 0.500 0.336 Ir
0.500 0.000 0.168 Ir
0.000 0.500 0.664 Ir
0.500 0.000 0.832 Ir
0.500 0.000 0.500 Os
0.000 0.500 0.000 Rh
```

Summary:
D(E_F), states/eV per atom: 0.816
M_tot, Bohr magnetons per cell: 0.0
Symmetry: Pmmm, No. 47
ρ, g/cm³: 20.36



Computed stability ranking, most favorable first: *R*, *P*, *Q*



*P*
The following is a DFT calculation (PBE-GGA) of a relaxed structure of Ir4Os2Rh.

```
Ir4Os2Rh
1.0
-4.067 -4.474 2.655
6.120 -0.865 2.324
-2.175 6.030 1.587
Ir Os Rh
8 4 2
Direct
0.146 0.937 0.389 Ir
0.611 0.757 0.548 Ir
0.959 0.563 0.702 Ir
0.298 0.257 0.861 Ir
0.604 0.743 0.041 Ir
0.791 0.243 0.854 Ir
0.452 0.063 0.209 Ir
0.139 0.437 0.396 Ir
0.875 0.113 0.488 Os
0.512 0.387 0.625 Os
0.375 0.887 0.762 Os
0.238 0.613 0.125 Os
0.000 0.000 0.000 Rh
0.750 0.500 0.250 Rh
```

Summary:
D(E_F), states/eV per atom: 1.367
M_tot, Bohr magnetons per cell: 0.0
Symmetry: I-42d, No. 122
ρ, g/cm³: 18.76



*Q*
The following is a DFT calculation (PBE-GGA) of a relaxed structure of Ir4Os2Rh.

```
Ir4Os2Rh
1.0
2.684 0.000 -0.354
0.000 3.833 0.000
0.011 0.000 10.428
Ir Os Rh
4 2 1
Direct
0.933 0.500 0.866 Ir
0.637 0.000 0.274 Ir
0.067 0.500 0.134 Ir
0.363 0.000 0.726 Ir
0.802 0.500 0.604 Os
0.198 0.500 0.396 Os
0.500 0.000 0.000 Rh
```

Summary:
D(E_F), states/eV per atom: 1.027
M_tot, Bohr magnetons per cell: 0.0
Symmetry: Cmmm, No. 65
ρ, g/cm³: 19.38



Computed stability ranking, most favorable first: *Q*, *P*



*P*
The following is a DFT calculation (PBE-GGA) of a relaxed structure of IrOsRh2.

```
IrOsRh2
1.0
-1.292 -2.791 3.096
-3.386 1.001 2.565
-3.776 -2.145 -0.434
Rh Ir Os
2 1 1
Direct
0.250 0.250 0.250 Rh
0.750 0.750 0.750 Rh
0.500 0.500 0.500 Ir
0.000 0.000 0.000 Os
```

Summary:
D(E_F), states/eV per atom: 1.686
M_tot, Bohr magnetons per cell: 1.3
Symmetry: Fm-3m, No. 225
ρ, g/cm³: 16.62



*Q*
The following is a DFT calculation (PBE-GGA) of a relaxed structure of IrOsRh2.

```
IrOsRh2
1.0
4.722 -0.003 0.003
3.940 2.602 0.003
0.780 0.234 4.646
Rh Ir Os
2 1 1
Direct
0.999 0.999 0.003 Rh
0.501 0.501 0.497 Rh
0.750 0.750 0.750 Ir
0.250 0.250 0.250 Os
```

Summary:
D(E_F), states/eV per atom: 1.329
M_tot, Bohr magnetons per cell: 0.0
Symmetry: C2/m, No. 12
ρ, g/cm³: 17.10



Computed stability ranking, most favorable first: *Q*, *P*



*P*
The following is a DFT calculation (PBE-GGA) of a relaxed structure of IrOsRh2.

```
IrOsRh2
1.0
-1.764 1.811 1.014
-0.069 -1.381 2.347
5.873 4.230 2.661
Rh Ir Os
2 1 1
Direct
0.000 0.000 0.995 Rh
0.500 0.500 0.251 Rh
0.000 0.000 0.505 Ir
0.500 0.500 0.749 Os
```

Summary:
D(E_F), states/eV per atom: 1.134
M_tot, Bohr magnetons per cell: 0.0
Symmetry: P4mm, No. 99
ρ, g/cm³: 17.07



*Q*
The following is a DFT calculation (PBE-GGA) of a relaxed structure of IrOsRh2.

```
IrOsRh2
1.0
4.705 0.000 0.000
0.000 2.689 0.003
0.000 0.022 4.652
Ir Os Rh
1 1 2
Direct
0.500 0.000 0.000 Ir
0.500 0.500 0.500 Os
0.000 0.255 0.749 Rh
0.000 0.745 0.251 Rh
```

Summary:
D(E_F), states/eV per atom: 1.188
M_tot, Bohr magnetons per cell: 0.0
Symmetry: P2/m, No. 10
ρ, g/cm³: 16.60



Computed stability ranking, most favorable first: *P*, *Q*



*P*
The following is a DFT calculation (PBE-GGA) of a relaxed structure of IrOsRh2.

```
IrOsRh2
1.0
8.990 -0.015 -0.009
8.577 2.692 -0.009
8.577 1.307 2.353
Rh Ir Os
2 1 1
Direct
0.001 0.001 0.001 Rh
0.250 0.250 0.250 Rh
0.499 0.499 0.499 Ir
0.750 0.750 0.750 Os
```

Summary:
D(E_F), states/eV per atom: 1.786
M_tot, Bohr magnetons per cell: 0.0
Symmetry: R3m, No. 160
ρ, g/cm³: 17.00



*Q*
The following is a DFT calculation (PBE-GGA) of a relaxed structure of IrOsRh2.

```
IrOsRh2
1.0
-0.912 -4.719 7.652
-1.608 -6.671 5.879
1.020 -6.233 6.462
Rh Ir Os
2 1 1
Direct
0.001 0.001 0.001 Rh
0.499 0.499 0.499 Rh
0.250 0.250 0.250 Ir
0.750 0.750 0.750 Os
```

Summary:
D(E_F), states/eV per atom: 1.672
M_tot, Bohr magnetons per cell: 0.0
Symmetry: R-3m, No. 166
ρ, g/cm³: 17.05



*R*
The following is a DFT calculation (PBE-GGA) of a relaxed structure of IrOsRh2.

```
IrOsRh2
1.0
4.727 0.004 -0.001
3.945 2.603 -0.001
0.775 0.233 4.648
Rh Ir Os
2 1 1
Direct
0.998 0.998 0.002 Rh
0.752 0.752 0.750 Rh
0.502 0.502 0.493 Ir
0.249 0.249 0.255 Os
```

Summary:
D(E_F), states/eV per atom: 1.220
M_tot, Bohr magnetons per cell: 0.0
Symmetry: Cm, No. 8
ρ, g/cm³: 17.10



Computed stability ranking, most favorable first: *R*, *P*, *Q*



*P*
The following is a DFT calculation (PBE-GGA) of a relaxed structure of IrOsRh2.

```
IrOsRh2
1.0
3.839 0.000 0.000
0.000 3.838 0.000
0.000 0.000 3.876
Rh Ir Os
2 1 1
Direct
0.000 0.000 0.000 Rh
0.500 0.500 0.000 Rh
0.500 0.000 0.500 Ir
0.000 0.500 0.500 Os
```

Summary:
D(E_F), states/eV per atom: 1.295
M_tot, Bohr magnetons per cell: 0.0
Symmetry: P4/mmm, No. 123
ρ, g/cm³: 17.10



*Q*
The following is a DFT calculation (PBE-GGA) of a relaxed structure of IrOsRh2.

```
IrOsRh2
1.0
2.715 0.000 0.000
0.000 3.879 0.000
0.000 0.000 5.421
Rh Ir Os
2 1 1
Direct
0.000 0.000 0.996 Rh
0.000 0.000 0.504 Rh
0.500 0.500 0.250 Ir
0.500 0.500 0.750 Os
```

Summary:
D(E_F), states/eV per atom: 1.084
M_tot, Bohr magnetons per cell: 0.0
Symmetry: Pmmm, No. 47
ρ, g/cm³: 17.11



Computed stability ranking, most favorable first: *Q*, *P*



*P*
The following is a DFT calculation (PBE-GGA) of a relaxed structure of IrOsRh2.

```
IrOsRh2
1.0
5.568 0.000 0.000
0.000 5.568 0.000
2.784 2.784 5.468
Rh Ir Os
4 2 2
Direct
0.620 0.125 0.250 Rh
0.130 0.625 0.250 Rh
0.375 0.380 0.750 Rh
0.875 0.870 0.750 Rh
0.000 0.000 0.000 Ir
0.750 0.250 0.500 Ir
0.500 0.500 0.000 Os
0.250 0.750 0.500 Os
```

Summary:
D(E_F), states/eV per atom: 0.733
M_tot, Bohr magnetons per cell: 0.0
Symmetry: I-42d, No. 122
ρ, g/cm³: 11.53



*Q*
The following is a DFT calculation (PBE-GGA) of a relaxed structure of IrOsRh2.

```
IrOsRh2
1.0
4.736 -0.003 0.000
-1.631 4.447 0.000
0.000 0.000 2.711
Rh Ir Os
2 1 1
Direct
0.000 0.000 0.000 Rh
0.500 0.500 0.000 Rh
0.500 0.000 0.500 Ir
0.000 0.500 0.500 Os
```

Summary:
D(E_F), states/eV per atom: 1.027
M_tot, Bohr magnetons per cell: 0.0
Symmetry: Cmmm, No. 65
ρ, g/cm³: 17.12



*R*
The following is a DFT calculation (PBE-GGA) of a relaxed structure of IrOsRh2.

```
IrOsRh2
1.0
-1.843 -4.289 0.698
3.257 -3.290 -0.920
0.100 3.865 2.703
Rh Ir Os
2 1 1
Direct
0.000 0.000 0.000 Rh
0.750 0.250 0.500 Rh
0.500 0.500 0.000 Ir
0.250 0.750 0.500 Os
```

Summary:
D(E_F), states/eV per atom: 1.123
M_tot, Bohr magnetons per cell: 0.0
Symmetry: F222, No. 22
ρ, g/cm³: 17.13



Computed stability ranking, most favorable first: *R*, *Q*, *P*